(1)
Density functional theory data (PBE-GGA) for crystalline BaMo2W at its relaxed geometry.

The structure belongs to space group P2/m (No. 10); the cell edges are 3.072, 4.176 and 7.470 Å and the angles 90.00°, 99.60° and 90.00°. The inequivalent atoms are Ba at (0.000, 0.000, 0.000), Mo at (0.200, 0.500, 0.651) and W at (0.500, 0.000, 0.500).

For the density of states at the Fermi level, the calculation gives 1.03 states/eV/atom. The value obtained for the calculated volume is 94.5 Å³ per cell. For the energy of formation, the calculation gives 813 meV/atom.



(2)
Density functional theory data (PBE-GGA) for crystalline BaMo2W at its relaxed geometry.

The structure belongs to space group P4/mmm (No. 123); the cell edges are 3.198, 3.198 and 8.445 Å and the angles 90.00°, 90.00° and 90.00°. The inequivalent atoms are Ba at (0.000, 0.000, 0.000), Mo at (0.500, 0.500, 0.325) and W at (0.000, 0.000, 0.500).

For the density of states at the Fermi level, the calculation gives 1.52 states/eV/atom. The value obtained for the calculated volume is 86.3 Å³ per cell. For the energy of formation, the calculation gives 776 meV/atom.



Number 1: spin magnetization 0.00 μB/atom. Number 2: spin magnetization 0.00 μB/atom.